# PBE-GGA Mg2Be2Cu, relaxed
data_Mg2Be2Cu
_space_group_name_H-M_alt 'C m c m'
_space_group_IT_number 63
_space_group_name_Hall '-C 2c 2'
_cell_length_a 4.063
_cell_length_b 7.088
_cell_length_c 10.667
_cell_angle_alpha 90.00
_cell_angle_beta 90.00
_cell_angle_gamma 90.00
loop_
_atom_site_label
_atom_site_fract_x
_atom_site_fract_y
_atom_site_fract_z
_atom_site_occupancy
Mg1 0.000 0.166 0.095 1
Be1 0.000 0.166 0.660 1
Cu1 0.000 0.499 0.250 1
# Energy in eV/atom: -2.484
# ρ in g cm⁻³: 2.8


# PBE-GGA MgBeCu2, relaxed
data_MgBeCu2
_space_group_name_H-M_alt 'F -4 3 m'
_space_group_IT_number 216
_space_group_name_Hall 'F -4 2 3'
_cell_length_a 5.818
_cell_length_b 5.818
_cell_length_c 5.818
_cell_angle_alpha 90.00
_cell_angle_beta 90.00
_cell_angle_gamma 90.00
loop_
_atom_site_label
_atom_site_fract_x
_atom_site_fract_y
_atom_site_fract_z
_atom_site_occupancy
Mg1 0.000 0.000 0.000 1
Be1 0.250 0.250 0.750 1
Cu1 0.000 0.000 0.500 1
Cu2 0.250 0.250 0.250 1
# Energy in eV/atom: -3.105
# ρ in g cm⁻³: 5.4
# ΔE to the lowest computed polymorph in eV/atom: 0.120


# PBE-GGA Mg2BeCu5, relaxed
data_Mg2BeCu5
_space_group_name_H-M_alt 'P 4/m m m'
_space_group_IT_number 123
_space_group_name_Hall '-P 4 2'
_cell_length_a 4.133
_cell_length_b 4.133
_cell_length_c 5.878
_cell_angle_alpha 90.00
_cell_angle_beta 90.00
_cell_angle_gamma 90.00
loop_
_atom_site_label
_atom_site_fract_x
_atom_site_fract_y
_atom_site_fract_z
_atom_site_occupancy
Mg1 0.000 0.000 0.000 1
Mg2 0.500 0.500 0.500 1
Be1 0.000 0.000 0.500 1
Cu1 0.000 0.500 0.262 1
Cu2 0.500 0.500 0.000 1
# Energy in eV/atom: -3.181
# ρ in g cm⁻³: 6.2


# PBE-GGA Mg2BeCu4Ni, relaxed
data_Mg2BeCu4Ni
_space_group_name_H-M_alt 'P 4/m m m'
_space_group_IT_number 123
_space_group_name_Hall '-P 4 2'
_cell_length_a 4.092
_cell_length_b 4.092
_cell_length_c 5.931
_cell_angle_alpha 90.00
_cell_angle_beta 90.00
_cell_angle_gamma 90.00
loop_
_atom_site_label
_atom_site_fract_x
_atom_site_fract_y
_atom_site_fract_z
_atom_site_occupancy
Mg1 0.000 0.000 0.000 1
Mg2 0.500 0.500 0.500 1
Be1 0.000 0.000 0.500 1
Cu1 0.000 0.500 0.259 1
Ni1 0.500 0.500 0.000 1
# Energy in eV/atom: -3.414
# ρ in g cm⁻³: 6.2


# PBE-GGA MgBeCuSi, relaxed
data_MgBeCuSi
_space_group_name_H-M_alt 'F -4 3 m'
_space_group_IT_number 216
_space_group_name_Hall 'F -4 2 3'
_cell_length_a 5.966
_cell_length_b 5.966
_cell_length_c 5.966
_cell_angle_alpha 90.00
_cell_angle_beta 90.00
_cell_angle_gamma 90.00
loop_
_atom_site_label
_atom_site_fract_x
_atom_site_fract_y
_atom_site_fract_z
_atom_site_occupancy
Mg1 0.000 0.000 0.000 1
Be1 0.250 0.250 0.250 1
Cu1 0.250 0.250 0.750 1
Si1 0.000 0.000 0.500 1
# Energy in eV/atom: -3.358
# ρ in g cm⁻³: 3.9
# ΔE to the lowest computed polymorph in eV/atom: 0.000


# PBE-GGA MgBeCuSi, relaxed
data_MgBeCuSi
_space_group_name_H-M_alt 'F -4 3 m'
_space_group_IT_number 216
_space_group_name_Hall 'F -4 2 3'
_cell_length_a 6.003
_cell_length_b 6.003
_cell_length_c 6.003
_cell_angle_alpha 90.00
_cell_angle_beta 90.00
_cell_angle_gamma 90.00
loop_
_atom_site_label
_atom_site_fract_x
_atom_site_fract_y
_atom_site_fract_z
_atom_site_occupancy
Mg1 0.000 0.000 0.000 1
Be1 0.250 0.250 0.750 1
Cu1 0.000 0.000 0.500 1
Si1 0.250 0.250 0.250 1
# Energy in eV/atom: -3.302
# ρ in g cm⁻³: 3.8
# ΔE to the lowest computed polymorph in eV/atom: 0.057


# PBE-GGA MgBeCu4Si2, relaxed
data_MgBeCu4Si2
_space_group_name_H-M_alt 'P 4/m m m'
_space_group_IT_number 123
_space_group_name_Hall '-P 4 2'
_cell_length_a 3.993
_cell_length_b 3.993
_cell_length_c 6.199
_cell_angle_alpha 90.00
_cell_angle_beta 90.00
_cell_angle_gamma 90.00
loop_
_atom_site_label
_atom_site_fract_x
_atom_site_fract_y
_atom_site_fract_z
_atom_site_occupancy
Mg1 0.000 0.000 0.000 1
Be1 0.500 0.500 0.500 1
Cu1 0.000 0.500 0.276 1
Si1 0.000 0.000 0.500 1
Si2 0.500 0.500 0.000 1
# Energy in eV/atom: -3.853
# ρ in g cm⁻³: 5.8


# PBE-GGA MgBeCu4Sn2, relaxed
data_MgBeCu4Sn2
_space_group_name_H-M_alt 'P 4/m m m'
_space_group_IT_number 123
_space_group_name_Hall '-P 4 2'
_cell_length_a 4.303
_cell_length_b 4.303
_cell_length_c 6.514
_cell_angle_alpha 90.00
_cell_angle_beta 90.00
_cell_angle_gamma 90.00
loop_
_atom_site_label
_atom_site_fract_x
_atom_site_fract_y
_atom_site_fract_z
_atom_site_occupancy
Mg1 0.000 0.000 0.000 1
Be1 0.500 0.500 0.500 1
Cu1 0.000 0.500 0.272 1
Sn1 0.000 0.000 0.500 1
Sn2 0.500 0.500 0.000 1
# Energy in eV/atom: -3.399
# ρ in g cm⁻³: 7.2